{
  "formula": "K2Ba3",
  "functional": "PBE",
  "state": "optimized geometry",
  "density_g_cm3": 2.4,
  "dos_at_fermi_per_ev_atom": 1.17,
  "sg": "R-3m (166)",
  "ef_mev_per_atom": 69,
  "de_polymorph_mev_per_atom": 26.6,
  "cell": [[19.292, 0.010, 0.006], [18.763, 4.487, 0.006], [18.763, 2.217, 3.901]],
  "species": ["K", "K", "Ba", "Ba", "Ba"],
  "frac_coords": [[0.600, 0.600, 0.600], [0.400, 0.400, 0.400], [0.000, 0.000, 0.000], [0.198, 0.198, 0.198], [0.802, 0.802, 0.802]]
}

=====

{
  "formula": "KBa2",
  "functional": "PBE",
  "state": "optimized geometry",
  "density_g_cm3": 2.6,
  "dos_at_fermi_per_ev_atom": 1.02,
  "sg": "I4_1/amd (141)",
  "ef_mev_per_atom": 147,
  "cell": [[1.007, 18.299, 12.994], [-3.258, 20.190, 9.298], [-0.945, -20.405, -9.351]],
  "species": ["K", "K", "Ba", "Ba", "Ba", "Ba"],
  "frac_coords": [[0.000, 0.000, 0.000], [0.750, 0.250, 0.500], [0.583, 0.583, 0.000], [0.167, 0.667, 0.500], [0.417, 0.417, 0.000], [0.333, 0.833, 0.500]]
}

=====

{
  "formula": "KBa2",
  "functional": "PBE",
  "state": "optimized geometry",
  "density_g_cm3": 2.6,
  "dos_at_fermi_per_ev_atom": 1.43,
  "sg": "P-3m1 (164)",
  "ef_mev_per_atom": 61,
  "cell": [[-1.266, -1.139, -4.165], [-2.175, -1.696, 3.555], [-7.255, 8.854, -0.215]],
  "species": ["K", "Ba", "Ba"],
  "frac_coords": [[0.000, 0.000, 0.000], [0.667, 0.333, 0.659], [0.333, 0.667, 0.341]]
}

=====

{
  "formula": "K2Ba",
  "functional": "PBE",
  "state": "optimized geometry",
  "density_g_cm3": 1.7,
  "dos_at_fermi_per_ev_atom": 1.32,
  "sg": "P-62m (189)",
  "ef_mev_per_atom": 141,
  "cell": [[-9.733, 4.791, 7.093], [9.686, -6.396, 5.768], [2.187, 3.740, 0.475]],
  "species": ["K", "K", "K", "K", "K", "K", "Ba", "Ba", "Ba"],
  "frac_coords": [[0.315, 0.000, 0.000], [0.000, 0.315, 0.000], [0.685, 0.685, 0.000], [0.648, 0.000, 0.500], [0.000, 0.648, 0.500], [0.352, 0.352, 0.500], [0.333, 0.667, 0.000], [0.667, 0.333, 0.000], [0.000, 0.000, 0.500]]
}

=====

{
  "formula": "KBa2",
  "functional": "PBE",
  "state": "optimized geometry",
  "density_g_cm3": 2.6,
  "dos_at_fermi_per_ev_atom": 1.48,
  "sg": "Immm (71)",
  "ef_mev_per_atom": 111,
  "cell": [[7.976, 0.002, -0.010], [4.104, 6.839, 0.010], [-5.379, -4.587, 3.692]],
  "species": ["Ba", "Ba", "K"],
  "frac_coords": [[0.333, 0.333, 0.000], [0.667, 0.667, 0.000], [0.000, 0.000, 0.000]]
}

=====

{
  "formula": "KBa5",
  "functional": "PBE",
  "state": "optimized geometry",
  "density_g_cm3": 3.1,
  "dos_at_fermi_per_ev_atom": 1.63,
  "sg": "P4/mmm (123)",
  "ef_mev_per_atom": 48,
  "de_polymorph_mev_per_atom": 0.0,
  "cell": [[4.442, 0.000, 0.000], [0.000, 4.442, 0.000], [0.000, 0.000, 20.016]],
  "species": ["K", "Ba", "Ba", "Ba", "Ba", "Ba"],
  "frac_coords": [[0.500, 0.500, 0.500], [0.000, 0.000, 0.674], [0.500, 0.500, 0.838], [0.000, 0.000, 0.000], [0.500, 0.500, 0.162], [0.000, 0.000, 0.326]]
}

=====

{
  "formula": "KBa4",
  "functional": "PBE",
  "state": "optimized geometry",
  "density_g_cm3": 2.7,
  "dos_at_fermi_per_ev_atom": 1.98,
  "sg": "Pm-3m (221)",
  "ef_mev_per_atom": 440,
  "de_polymorph_mev_per_atom": 402.6,
  "cell": [[7.089, 0.000, 0.000], [0.000, 7.089, 0.000], [0.000, 0.000, 7.089]],
  "species": ["K", "Ba", "Ba", "Ba", "Ba"],
  "frac_coords": [[0.500, 0.500, 0.500], [0.000, 0.000, 0.000], [0.500, 0.000, 0.500], [0.000, 0.500, 0.500], [0.500, 0.500, 0.000]]
}

=====

{
  "formula": "K2Ba",
  "functional": "PBE",
  "state": "optimized geometry",
  "density_g_cm3": 1.7,
  "dos_at_fermi_per_ev_atom": 0.88,
  "sg": "I4_1/amd (141)",
  "ef_mev_per_atom": 85,
  "cell": [[19.660, -10.606, -3.930], [20.349, -9.798, 2.083], [-21.353, 7.512, 1.439]],
  "species": ["K", "K", "K", "K", "Ba", "Ba"],
  "frac_coords": [[0.579, 0.579, 0.000], [0.171, 0.671, 0.500], [0.421, 0.421, 0.000], [0.329, 0.829, 0.500], [0.000, 0.000, 0.000], [0.750, 0.250, 0.500]]
}

=====

{
  "formula": "KBa4",
  "functional": "PBE",
  "state": "optimized geometry",
  "density_g_cm3": 2.6,
  "dos_at_fermi_per_ev_atom": 1.97,
  "sg": "Im-3m (229)",
  "ef_mev_per_atom": 480,
  "de_polymorph_mev_per_atom": 443.1,
  "cell": [[-4.555, 4.555, 4.555], [4.555, -4.555, 4.555], [4.555, 4.555, -4.555]],
  "species": ["K", "Ba", "Ba", "Ba", "Ba"],
  "frac_coords": [[0.000, 0.000, 0.000], [0.500, 0.000, 0.000], [0.500, 0.500, 0.500], [0.000, 0.500, 0.000], [0.000, 0.000, 0.500]]
}

=====

{
  "formula": "K7Ba",
  "functional": "PBE",
  "state": "optimized geometry",
  "density_g_cm3": 1.2,
  "dos_at_fermi_per_ev_atom": 0.94,
  "sg": "Fm-3m (225)",
  "ef_mev_per_atom": 55,
  "cell": [[9.322, 0.000, 0.000], [4.661, 8.073, 0.000], [4.661, 2.691, 7.612]],
  "species": ["Ba", "K", "K", "K", "K", "K", "K", "K"],
  "frac_coords": [[0.000, 0.000, 0.000], [0.500, 0.000, 0.000], [0.500, 0.000, 0.500], [0.500, 0.500, 0.000], [0.000, 0.500, 0.500], [0.000, 0.500, 0.000], [0.000, 0.000, 0.500], [0.500, 0.500, 0.500]]
}